# TiTl2VO6 | Alexandria | PBE with a Hubbard U | relaxed
# Spin magnetization ... 0.00 μB per formula unit
# Energy ... -6.6261 eV per atom
# Symmetry ... R-3m (166)
data_TiTl2VO6
_space_group_name_H-M_alt 'P 1'
_space_group_IT_number 1
_space_group_name_Hall 'P 1'
_cell_length_a 5.737
_cell_length_b 5.737
_cell_length_c 9.860
_cell_angle_alpha 73.09
_cell_angle_beta 73.09
_cell_angle_gamma 60.00
loop_
_atom_site_label
_atom_site_type_symbol
_atom_site_fract_x
_atom_site_fract_y
_atom_site_fract_z
O1 O 0.801 0.801 0.116
Tl1 Tl 0.276 0.276 0.173
O2 O 0.164 0.603 0.630
V1 V 0.000 0.000 0.000
O3 O 0.718 0.199 0.884
Tl2 Tl 0.133 0.133 0.602
O4 O 0.603 0.603 0.630
O5 O 0.397 0.836 0.370
O6 O 0.836 0.397 0.370
Tl3 Tl 0.724 0.724 0.827
V2 V 0.500 0.500 0.500
O7 O 0.199 0.718 0.884
O8 O 0.603 0.164 0.630
O9 O 0.801 0.282 0.116
O10 O 0.397 0.397 0.370
Ti1 Ti 0.598 0.598 0.205
Ti2 Ti 0.402 0.402 0.795
O11 O 0.282 0.801 0.116
Tl4 Tl 0.867 0.867 0.398
O12 O 0.199 0.199 0.884